[1]
The following is a DFT calculation (GGA-PBEsol) of a relaxed ScSi2Ir crystal.

Computed properties:
M_tot = 0.00 μB per atom
mass density = 8052 kg/m³
calculated volume = 15.12 Å³ per atom
formation energy without anion corrections = -434 meV/atom

abc: 6.2316 6.2316 6.2316
angles: 90.00 90.00 90.00
Atoms (fractional coordinates):
Sc  0.0000  0.0000  0.0000
Sc  0.0000  0.5000  0.5000
Sc  0.5000  0.0000  0.5000
Sc  0.5000  0.5000  0.0000
Si  0.0000  0.0000  0.5000
Si  0.0000  0.5000  0.0000
Si  0.2500  0.2500  0.2500
Si  0.2500  0.7500  0.7500
Si  0.5000  0.0000  0.0000
Si  0.5000  0.5000  0.5000
Si  0.7500  0.2500  0.7500
Si  0.7500  0.7500  0.2500
Ir  0.2500  0.2500  0.7500
Ir  0.2500  0.7500  0.2500
Ir  0.7500  0.2500  0.2500
Ir  0.7500  0.7500  0.7500

[2]
The following is a DFT calculation (GGA-PBEsol) of a relaxed ScSn2Ir2 crystal.

Computed properties:
M_tot = 0.00 μB per atom
mass density = 11190 kg/m³
DOS at the Fermi energy = 0.68 states/eV/atom
calculated volume = 19.79 Å³ per atom
E_form = -0.2551 eV/atom

abc: 4.0610 4.0610 11.9998
angles: 90.00 90.00 90.00
Atoms (fractional coordinates):
Sc  0.0000  0.0000  0.0000
Sc  0.5000  0.5000  0.5000
Sn  0.0000  0.5000  0.2500
Sn  0.0000  0.5000  0.7500
Sn  0.5000  0.0000  0.2500
Sn  0.5000  0.0000  0.7500
Ir  0.0000  0.0000  0.3988
Ir  0.0000  0.0000  0.6012
Ir  0.5000  0.5000  0.1012
Ir  0.5000  0.5000  0.8988

[3]
The following is a DFT calculation (GGA-PBEsol) of a relaxed ScSn3Ir crystal.

Computed properties:
M_tot = 0.00 μB per atom
mass density = 7066 kg/m³
DOS at the Fermi energy = 1.04 states/eV/atom
calculated volume = 27.88 Å³ per atom
E_form = 1.3061 eV/atom

abc: 5.1853 5.1853 5.1853
angles: 90.00 90.00 90.00
Atoms (fractional coordinates):
Sc  0.0000  0.0000  0.0000
Sn  0.0000  0.0000  0.5000
Sn  0.0000  0.5000  0.0000
Sn  0.5000  0.0000  0.0000
Ir  0.5000  0.5000  0.5000

[4]
The following is a DFT calculation (GGA-PBEsol) of a relaxed Sc2SnIr crystal.

Computed properties:
M_tot = 0.00 μB per atom
mass density = 6791 kg/m³
DOS at the Fermi energy = 0.63 states/eV/atom
calculated volume = 24.50 Å³ per atom
E_form = -0.2573 eV/atom

abc: 3.5367 3.5367 27.1429
angles: 90.00 90.00 120.00
Atoms (fractional coordinates):
Sc  0.0000  0.0000  0.1092
Sc  0.0000  0.0000  0.8908
Sc  0.3333  0.6667  0.5575
Sc  0.3333  0.6667  0.7759
Sc  0.6667  0.3333  0.2241
Sc  0.6667  0.3333  0.4425
Sn  0.0000  0.0000  0.0000
Sn  0.3333  0.6667  0.6667
Sn  0.6667  0.3333  0.3333
Ir  0.0000  0.0000  0.5000
Ir  0.3333  0.6667  0.1667
Ir  0.6667  0.3333  0.8333

[5]
The following is a DFT calculation (GGA-PBEsol) of a relaxed SrScIr crystal.

Computed properties:
M_tot = 0.00 μB per atom
mass density = 6389 kg/m³
DOS at the Fermi energy = 0.29 states/eV/atom
calculated volume = 28.14 Å³ per atom
energy relative to the lowest polymorph listed for this composition = 0 meV/atom
E_form = -0.2015 eV/atom

abc: 4.0721 4.0721 5.8783
angles: 90.00 90.00 120.00
Atoms (fractional coordinates):
Sr  0.0000  0.0000  0.0000
Sc  0.6667  0.3333  0.5197
Ir  0.3333  0.6667  0.6873

[6]
The following is a DFT calculation (GGA-PBEsol) of a relaxed SrScIr crystal.

Computed properties:
M_tot = 0.00 μB per atom
mass density = 7778 kg/m³
DOS at the Fermi energy = 0.43 states/eV/atom
calculated volume = 23.11 Å³ per atom
energy relative to the lowest polymorph listed for this composition = 469 meV/atom
E_form = 0.2671 eV/atom

abc: 6.5215 6.5215 6.5215
angles: 90.00 90.00 90.00
Atoms (fractional coordinates):
Sr  0.0000  0.0000  0.0000
Sr  0.0000  0.5000  0.5000
Sr  0.5000  0.0000  0.5000
Sr  0.5000  0.5000  0.0000
Sc  0.2500  0.2500  0.7500
Sc  0.2500  0.7500  0.2500
Sc  0.7500  0.2500  0.2500
Sc  0.7500  0.7500  0.7500
Ir  0.0000  0.0000  0.5000
Ir  0.0000  0.5000  0.0000
Ir  0.5000  0.0000  0.0000
Ir  0.5000  0.5000  0.5000

[7]
The following is a DFT calculation (GGA-PBEsol) of a relaxed SrScIr2 crystal.

Computed properties:
M_tot = 0.00 μB per atom
mass density = 11428 kg/m³
DOS at the Fermi energy = 0.94 states/eV/atom
calculated volume = 18.78 Å³ per atom
energy relative to the lowest polymorph listed for this composition = 224 meV/atom
E_form = 0.0737 eV/atom

abc: 4.0577 4.0577 9.1255
angles: 90.00 90.00 90.00
Atoms (fractional coordinates):
Sr  0.0000  0.0000  0.0000
Sr  0.5000  0.5000  0.5000
Sc  0.0000  0.5000  0.7500
Sc  0.5000  0.0000  0.2500
Ir  0.0000  0.0000  0.5000
Ir  0.0000  0.5000  0.2500
Ir  0.5000  0.0000  0.7500
Ir  0.5000  0.5000  0.0000

[8]
The following is a DFT calculation (GGA-PBEsol) of a relaxed SrScIr3 crystal.

Computed properties:
M_tot = 0.00 μB per atom
mass density = 10646 kg/m³
DOS at the Fermi energy = 1.08 states/eV/atom
calculated volume = 22.13 Å³ per atom
E_form = 2.1305 eV/atom

abc: 4.8005 4.8005 4.8005
angles: 90.00 90.00 90.00
Atoms (fractional coordinates):
Sr  0.0000  0.0000  0.0000
Sc  0.5000  0.5000  0.5000
Ir  0.0000  0.0000  0.5000
Ir  0.0000  0.5000  0.0000
Ir  0.5000  0.0000  0.0000

[9]
The following is a DFT calculation (GGA-PBEsol) of a relaxed SrScIr2 crystal.

Computed properties:
M_tot = 0.00 μB per atom
mass density = 10229 kg/m³
DOS at the Fermi energy = 0.86 states/eV/atom
calculated volume = 20.98 Å³ per atom
energy relative to the lowest polymorph listed for this composition = 58 meV/atom
E_form = -0.0924 eV/atom

abc: 8.2019 3.0454 6.8088
angles: 90.00 99.27 90.00
Atoms (fractional coordinates):
Sr  0.0000  0.0000  0.0000
Sr  0.5000  0.5000  0.0000
Sc  0.0000  0.5000  0.5000
Sc  0.5000  0.0000  0.5000
Ir  0.2408  0.0000  0.6724
Ir  0.2592  0.5000  0.3276
Ir  0.7408  0.5000  0.6724
Ir  0.7592  0.0000  0.3276

[10]
The following is a DFT calculation (GGA-PBEsol) of a relaxed SrScIr2 crystal.

Computed properties:
M_tot = 0.00 μB per atom
mass density = 10846 kg/m³
DOS at the Fermi energy = 0.55 states/eV/atom
calculated volume = 19.79 Å³ per atom
energy relative to the lowest polymorph listed for this composition = 0 meV/atom
E_form = -0.1500 eV/atom

abc: 10.7512 2.9549 5.1318
angles: 90.00 103.83 90.00
Atoms (fractional coordinates):
Sr  0.0000  0.0000  0.0000
Sr  0.5000  0.5000  0.0000
Sc  0.3064  0.5000  0.3931
Sc  0.8064  0.0000  0.3931
Ir  0.0382  0.5000  0.5143
Ir  0.2305  0.0000  0.7721
Ir  0.5382  0.0000  0.5143
Ir  0.7305  0.5000  0.7721

[11]
The following is a DFT calculation (GGA-PBEsol) of a relaxed SrZrSc2Ir crystal.

Computed properties:
M_tot = 0.38 μB per atom
mass density = 5492 kg/m³
DOS at the Fermi energy = 1.30 states/eV/atom
calculated volume = 27.87 Å³ per atom
E_form = 0.3040 eV/atom

abc: 5.0047 5.0047 5.5642
angles: 90.00 90.00 90.00
Atoms (fractional coordinates):
Sr  0.0000  0.0000  0.0000
Zr  0.5000  0.5000  0.0000
Sc  0.0000  0.5000  0.5000
Sc  0.5000  0.0000  0.5000
Ir  0.0000  0.0000  0.5000

[12]
The following is a DFT calculation (GGA-PBEsol) of a relaxed ScTaIr4 crystal.

Computed properties:
M_tot = 0.00 μB per atom
mass density = 17205 kg/m³
DOS at the Fermi energy = 0.93 states/eV/atom
calculated volume = 16.00 Å³ per atom
E_form = -0.4162 eV/atom

abc: 5.1398 5.1398 5.1398
angles: 60.00 60.00 60.00
Atoms (fractional coordinates):
Sc  0.0000  0.0000  0.0000
Ta  0.7500  0.7500  0.7500
Ir  0.3746  0.3746  0.3746
Ir  0.3746  0.3746  0.8762
Ir  0.3746  0.8762  0.3746
Ir  0.8762  0.3746  0.3746

[13]
The following is a DFT calculation (GGA-PBEsol) of a relaxed ScTa2Ir crystal.

Computed properties:
M_tot = 0.00 μB per atom
mass density = 14233 kg/m³
DOS at the Fermi energy = 1.11 states/eV/atom
calculated volume = 17.47 Å³ per atom
E_form = 0.0074 eV/atom

abc: 2.9233 2.9233 28.3329
angles: 90.00 90.00 120.00
Atoms (fractional coordinates):
Sc  0.0000  0.0000  0.0000
Sc  0.3333  0.6667  0.6667
Sc  0.6667  0.3333  0.3333
Ta  0.0000  0.0000  0.2441
Ta  0.0000  0.0000  0.7559
Ta  0.3333  0.6667  0.4225
Ta  0.3333  0.6667  0.9108
Ta  0.6667  0.3333  0.0892
Ta  0.6667  0.3333  0.5775
Ir  0.0000  0.0000  0.5000
Ir  0.3333  0.6667  0.1667
Ir  0.6667  0.3333  0.8333

[14]
The following is a DFT calculation (GGA-PBEsol) of a relaxed ScTaIr crystal.

Computed properties:
M_tot = 0.00 μB per atom
mass density = 13405 kg/m³
DOS at the Fermi energy = 0.90 states/eV/atom
calculated volume = 17.27 Å³ per atom
E_form = -0.1409 eV/atom

abc: 2.9664 2.9664 6.7966
angles: 90.00 90.00 120.00
Atoms (fractional coordinates):
Sc  0.0000  0.0000  0.0000
Ta  0.3333  0.6667  0.6381
Ir  0.6667  0.3333  0.3291

[15]
The following is a DFT calculation (GGA-PBEsol) of a relaxed ScTa2Ir crystal.

Computed properties:
M_tot = 0.00 μB per atom
mass density = 14688 kg/m³
DOS at the Fermi energy = 0.80 states/eV/atom
calculated volume = 16.93 Å³ per atom
E_form = -0.2449 eV/atom

abc: 2.8728 4.5686 5.2902
angles: 90.00 102.72 90.00
Atoms (fractional coordinates):
Sc  0.0000  0.0000  0.0000
Ta  0.2704  0.5000  0.7448
Ta  0.7296  0.5000  0.2552
Ir  0.5000  0.0000  0.5000

[16]
The following is a DFT calculation (GGA-PBEsol) of a relaxed ScTa2Ir crystal.

Computed properties:
M_tot = 0.00 μB per atom
mass density = 14843 kg/m³
DOS at the Fermi energy = 1.15 states/eV/atom
calculated volume = 16.75 Å³ per atom
E_form = -0.2550 eV/atom

abc: 6.4479 6.4479 6.4479
angles: 90.00 90.00 90.00
Atoms (fractional coordinates):
Sc  0.0000  0.0000  0.0000
Sc  0.0000  0.5000  0.5000
Sc  0.5000  0.0000  0.5000
Sc  0.5000  0.5000  0.0000
Ta  0.0000  0.0000  0.5000
Ta  0.0000  0.5000  0.0000
Ta  0.2500  0.2500  0.7500
Ta  0.2500  0.7500  0.2500
Ta  0.5000  0.0000  0.0000
Ta  0.5000  0.5000  0.5000
Ta  0.7500  0.2500  0.2500
Ta  0.7500  0.7500  0.7500
Ir  0.2500  0.2500  0.2500
Ir  0.2500  0.7500  0.7500
Ir  0.7500  0.2500  0.7500
Ir  0.7500  0.7500  0.2500

[17]
The following is a DFT calculation (GGA-PBEsol) of a relaxed ScTa2Ir crystal.

Computed properties:
M_tot = 0.00 μB per atom
mass density = 14089 kg/m³
DOS at the Fermi energy = 0.94 states/eV/atom
calculated volume = 17.65 Å³ per atom
E_form = -0.1470 eV/atom

abc: 2.9303 2.9303 8.2225
angles: 90.00 90.00 90.00
Atoms (fractional coordinates):
Sc  0.0000  0.0000  0.0000
Ta  0.5000  0.5000  0.2777
Ta  0.5000  0.5000  0.7223
Ir  0.0000  0.0000  0.5000

[18]
The following is a DFT calculation (GGA-PBEsol) of a relaxed ScTcIr2 crystal.

Computed properties:
M_tot = 0.00 μB per atom
mass density = 14644 kg/m³
DOS at the Fermi energy = 1.45 states/eV/atom
calculated volume = 14.95 Å³ per atom
energy relative to the lowest polymorph listed for this composition = 97 meV/atom
E_form = -0.3348 eV/atom

abc: 3.9598 3.9598 7.6277
angles: 90.00 90.00 90.00
Atoms (fractional coordinates):
Sc  0.0000  0.0000  0.0000
Sc  0.5000  0.5000  0.5000
Tc  0.0000  0.0000  0.5000
Tc  0.5000  0.5000  0.0000
Ir  0.0000  0.5000  0.2500
Ir  0.0000  0.5000  0.7500
Ir  0.5000  0.0000  0.2500
Ir  0.5000  0.0000  0.7500

[19]
The following is a DFT calculation (GGA-PBEsol) of a relaxed ScTcIr2 crystal.

Computed properties:
M_tot = 0.00 μB per atom
mass density = 14475 kg/m³
DOS at the Fermi energy = 0.99 states/eV/atom
calculated volume = 15.12 Å³ per atom
energy relative to the lowest polymorph listed for this composition = 144 meV/atom
E_form = -0.2880 eV/atom

abc: 4.6210 4.6210 2.8332
angles: 90.00 90.00 90.00
Atoms (fractional coordinates):
Sc  0.0000  0.0000  0.0000
Tc  0.5000  0.5000  0.0000
Ir  0.0000  0.5000  0.5000
Ir  0.5000  0.0000  0.5000

[20]
The following is a DFT calculation (GGA-PBEsol) of a relaxed ScTcIr2 crystal.

Computed properties:
M_tot = 0.00 μB per atom
mass density = 14732 kg/m³
DOS at the Fermi energy = 0.99 states/eV/atom
calculated volume = 14.86 Å³ per atom
energy relative to the lowest polymorph listed for this composition = 0 meV/atom
E_form = -0.4319 eV/atom

abc: 5.5871 7.5691 2.8114
angles: 90.00 90.00 90.00
Atoms (fractional coordinates):
Sc  0.0000  0.0000  0.0000
Sc  0.5000  0.5000  0.0000
Tc  0.0000  0.5000  0.0000
Tc  0.5000  0.0000  0.0000
Ir  0.2500  0.2500  0.5000
Ir  0.2500  0.7500  0.5000
Ir  0.7500  0.2500  0.5000
Ir  0.7500  0.7500  0.5000

Number 1: E -7.41 eV per atom. Number 2: E -7.21 eV per atom. Number 3: E -4.54 eV per atom. Number 4: E -7.08 eV per atom. Number 5: E -6.29 eV per atom. Number 6: E -5.82 eV per atom. Number 7: E -6.95 eV per atom. Number 8: E -5.45 eV per atom. Number 9: E -7.12 eV per atom. Number 10: E -7.17 eV per atom. Number 11: E -6.49 eV per atom. Number 12: E -10.16 eV per atom. Number 13: E -10.38 eV per atom. Number 14: E -9.80 eV per atom. Number 15: E -10.63 eV per atom. Number 16: E -10.64 eV per atom. Number 17: E -10.53 eV per atom. Number 18: E -9.71 eV per atom. Number 19: E -9.67 eV per atom. Number 20: E -9.81 eV per atom.